Record 1
# TbAs

A relaxed structure of TbAs (PBE, OQMD).

Computed properties:
VASP energy ... -44.487 eV for the cell shown
SG ... Pmma
Spin magnetization ... 0.008 Bohr magnetons per cell

Cell lengths 6.2283, 5.6389, 5.5569 Å; angles 90.00, 90.00, 90.00 degrees
Element x y z (fractional)
Tb: 0.0000 0.0000 0.0000
Tb: 0.2500 0.5000 0.3324
Tb: 0.5000 0.0000 0.0000
Tb: 0.7500 0.5000 0.6676
As: 0.2500 0.0000 0.4766
As: 0.2500 0.5000 0.8372
As: 0.7500 0.0000 0.5234
As: 0.7500 0.5000 0.1628

Record 2
# SrInAu

A relaxed structure of SrInAu (PBE, OQMD).

Computed properties:
VASP energy ... -38.626 eV for the cell shown
SG ... Pnma

Cell lengths 7.6911, 4.7684, 8.7733 Å; angles 90.00, 90.00, 90.00 degrees
Element x y z (fractional)
Sr: 0.0304 0.2500 0.1804
Sr: 0.4696 0.7500 0.6804
Sr: 0.5304 0.2500 0.3196
Sr: 0.9696 0.7500 0.8196
In: 0.1490 0.2500 0.5604
In: 0.3510 0.7500 0.0604
In: 0.6490 0.2500 0.9396
In: 0.8510 0.7500 0.4396
Au: 0.2259 0.7500 0.3750
Au: 0.2741 0.2500 0.8750
Au: 0.7259 0.7500 0.1250
Au: 0.7741 0.2500 0.6250

Record 3
# SrFeSn2

A relaxed structure of SrFeSn2 (PBE, OQMD).

Computed properties:
VASP energy ... -16.928 eV for the cell shown
SG ... F-43m
Spin magnetization ... 2.338 Bohr magnetons per cell

Cell lengths 5.2347, 5.2347, 5.2347 Å; angles 60.00, 60.00, 60.00 degrees
Element x y z (fractional)
Sr: 0.0000 0.0000 0.0000
Fe: 0.2500 0.2500 0.2500
Sn: 0.5000 0.5000 0.5000
Sn: 0.7500 0.7500 0.7500

Record 4
# Hf4GaFeN2

A relaxed structure of Hf4GaFeN2 (PBE, OQMD).

Computed properties:
VASP energy ... -75.501 eV for the cell shown
SG ... P-6m2
Spin magnetization ... 0.921 Bohr magnetons per cell

Cell lengths 3.1791, 3.1791, 13.5580 Å; angles 90.00, 90.00, 120.00 degrees
Element x y z (fractional)
Hf: 0.0000 0.0000 0.1424
Hf: 0.0000 0.0000 0.8576
Hf: 0.3333 0.6667 0.3359
Hf: 0.3333 0.6667 0.6641
Ga: 0.0000 0.0000 0.5000
Fe: 0.3333 0.6667 0.0000
N: 0.6667 0.3333 0.2419
N: 0.6667 0.3333 0.7581

Which of these has the highest VASP energy? SrFeSn2

What is the VASP energy in the first record? -44.487 eV for the cell shown

Number 2 is which compound? SrInAu